Entry 1:
Material: Y4Sc5
Method: DFT, GGA-PBEsol
State: optimized geometry

Geometry as POSCAR:
```
Y4Sc5
1.0
9.1306 0.0000 0.0000
-4.5653 7.9073 0.0000
0.0000 0.0000 6.5834
Y Sc
8 10
direct
0.0000 0.0000 0.0000 Y
0.0000 0.0000 0.5000 Y
0.0000 0.3627 0.2500 Y
0.0000 0.6373 0.7500 Y
0.3627 0.0000 0.2500 Y
0.3627 0.3627 0.7500 Y
0.6373 0.0000 0.7500 Y
0.6373 0.6373 0.2500 Y
0.0000 0.3108 0.7500 Sc
0.0000 0.6892 0.2500 Sc
0.3108 0.0000 0.7500 Sc
0.3108 0.3108 0.2500 Sc
0.3333 0.6667 0.0000 Sc
0.3333 0.6667 0.5000 Sc
0.6667 0.3333 0.0000 Sc
0.6667 0.3333 0.5000 Sc
0.6892 0.0000 0.2500 Sc
0.6892 0.6892 0.7500 Sc
```

Summary:
ΔH_f (0 K)	0.0711	eV/atom
ΔE to the lowest computed polymorph	14	meV per atom
symmetry	P6_3/mcm (193)
total magnetic moment	0.00	μB per cell
E_tot	-59.67	eV/f.u.
volume	475	Å³ per cell
Fermi-level density of states	13.1	states/eV/f.u.



Entry 2:
Material: ScFe2P
Method: DFT, GGA-PBEsol
State: optimized geometry

Geometry as POSCAR:
```
ScFe2P
1.0
2.9926 0.0000 0.0000
0.0000 3.9670 0.0000
-0.2655 0.0000 4.5914
Sc Fe P
1 2 1
direct
0.0000 0.0000 0.0000 Sc
0.4016 0.5000 0.7430 Fe
0.5984 0.5000 0.2570 Fe
0.5000 0.0000 0.5000 P
```

Summary:
ΔH_f (0 K)	-0.2728	eV/atom
symmetry	P2/m (10)
total magnetic moment	3.37	μB per cell
E_tot	-31.41	eV/f.u.
volume	55	Å³ per cell
Fermi-level density of states	3.8	states/eV/f.u.



Entry 3:
Material: SiAgW
Method: DFT, GGA-PBEsol
State: optimized geometry

Geometry as POSCAR:
```
SiAgW
1.0
-1.3882 1.6415 4.9960
1.3882 -1.6415 4.9960
1.3882 1.6415 -4.9960
Si Ag W
1 1 1
direct
0.0000 0.0000 0.0000 Si
0.3337 0.3337 0.0000 Ag
0.6389 0.6389 0.0000 W
```

Summary:
symmetry	Imm2 (44)
total magnetic moment	0.00	μB per cell
E_tot	-21.60	eV/f.u.
raw formation energy	0.422	eV per atom
volume	46	Å³ per cell
Fermi-level density of states	1.8	states/eV/f.u.



Entry 4:
Material: Si2IrRu
Method: DFT, GGA-PBEsol
State: optimized geometry

Geometry as POSCAR:
```
Si2IrRu
1.0
2.8019 0.0000 0.0000
0.0000 3.7872 0.0000
-0.0025 0.0000 5.1431
Si Ir Ru
2 1 1
direct
0.0030 0.0000 0.2289 Si
0.9970 0.0000 0.7711 Si
0.0000 0.5000 0.5000 Ir
0.5000 0.5000 0.0000 Ru
```

Summary:
symmetry	P2/m (10)
total magnetic moment	0.00	μB per cell
E_tot	-32.60	eV/f.u.
raw formation energy	-0.279	eV per atom
volume	55	Å³ per cell
Fermi-level density of states	2.4	states/eV/f.u.



Entry 5:
Material: KZnCd2
Method: DFT, GGA-PBEsol
State: optimized geometry

Geometry as POSCAR:
```
KZnCd2
1.0
4.6044 0.0000 0.0000
0.0000 4.6044 0.0000
0.0000 0.0000 4.7995
K Zn Cd
1 1 2
direct
0.0000 0.0000 0.0000 K
0.5000 0.5000 0.0000 Zn
0.0000 0.5000 0.5000 Cd
0.5000 0.0000 0.5000 Cd
```

Summary:
ΔH_f (0 K)	0.2122	eV/atom
symmetry	P4/mmm (123)
total magnetic moment	0.00	μB per cell
E_tot	-4.26	eV/f.u.
volume	102	Å³ per cell
Fermi-level density of states	1.7	states/eV/f.u.



Entry 6:
Material: LaRe2Se
Method: DFT, GGA-PBEsol
State: optimized geometry

Geometry as POSCAR:
```
LaRe2Se
1.0
-1.9270 1.9270 5.2700
1.9270 -1.9270 5.2700
1.9270 1.9270 -5.2700
La Re Se
1 2 1
direct
0.0000 0.0000 0.0000 La
0.2500 0.7500 0.5000 Re
0.7500 0.2500 0.5000 Re
0.5000 0.5000 0.0000 Se
```

Summary:
symmetry	I4/mmm (139)
total magnetic moment	0.00	μB per cell
E_tot	-34.09	eV/f.u.
raw formation energy	0.442	eV per atom
volume	78	Å³ per cell
Fermi-level density of states	2.7	states/eV/f.u.



Entry 7:
Material: CdTeW2
Method: DFT, GGA-PBEsol
State: optimized geometry

Geometry as POSCAR:
```
CdTeW2
1.0
3.2243 0.0000 0.0000
0.0000 3.2243 0.0000
0.0000 0.0000 6.7934
Cd Te W
1 1 2
direct
0.0000 0.0000 0.0000 Cd
0.0000 0.0000 0.5000 Te
0.5000 0.5000 0.2666 W
0.5000 0.5000 0.7334 W
```

Summary:
ΔE to the lowest computed polymorph	450	meV per atom
symmetry	P4/mmm (123)
total magnetic moment	0.00	μB per cell
E_tot	-28.72	eV/f.u.
raw formation energy	0.905	eV per atom
volume	71	Å³ per cell
Fermi-level density of states	4.0	states/eV/f.u.



Entry 8:
Material: ScSbSe
Method: DFT, GGA-PBEsol
State: optimized geometry

Geometry as POSCAR:
```
ScSbSe
1.0
-1.7425 1.7425 5.3755
1.7425 -1.7425 5.3755
1.7425 1.7425 -5.3755
Sc Sb Se
1 1 1
direct
0.0000 0.0000 0.0000 Sc
0.3104 0.3104 0.0000 Sb
0.5987 0.5987 0.0000 Se
```

Summary:
symmetry	I4mm (107)
total magnetic moment	0.00	μB per cell
E_tot	-17.89	eV/f.u.
raw formation energy	-0.958	eV per atom
volume	65	Å³ per cell
Fermi-level density of states	1.6	states/eV/f.u.



Entry 9:
Material: HgIr2Au
Method: DFT, GGA-PBEsol
State: optimized geometry

Geometry as POSCAR:
```
HgIr2Au
1.0
2.8062 0.0000 0.0000
0.0000 2.8062 0.0000
0.0000 0.0000 8.2411
Hg Ir Au
1 2 1
direct
0.0000 0.0000 0.0000 Hg
0.0000 0.0000 0.4713 Ir
0.5000 0.5000 0.2637 Ir
0.5000 0.5000 0.7219 Au
```

Summary:
ΔH_f (0 K)	0.2385	eV/atom
symmetry	P4mm (99)
total magnetic moment	0.00	μB per cell
E_tot	-23.18	eV/f.u.
volume	65	Å³ per cell
Fermi-level density of states	2.5	states/eV/f.u.



Entry 10:
Material: TaSbMo2
Method: DFT, GGA-PBEsol
State: optimized geometry

Geometry as POSCAR:
```
TaSbMo2
1.0
1.5695 0.9062 8.3071
-1.5695 0.9062 8.3071
0.0000 -1.8123 8.3071
Ta Sb Mo
1 1 2
direct
0.0000 0.0000 0.0000 Ta
0.5000 0.5000 0.5000 Sb
0.2532 0.2532 0.2532 Mo
0.7468 0.7468 0.7468 Mo
```

Summary:
symmetry	R-3m (166)
total magnetic moment	0.00	μB per cell
E_tot	-39.32	eV/f.u.
raw formation energy	0.330	eV per atom
volume	71	Å³ per cell
Fermi-level density of states	3.3	states/eV/f.u.



Entry 11:
Material: OsAuBr2
Method: DFT, GGA-PBEsol
State: optimized geometry

Geometry as POSCAR:
```
OsAuBr2
1.0
3.1268 -1.8122 0.0000
3.1268 1.8122 0.0000
-0.3826 0.0000 7.9865
Os Au Br
1 1 2
direct
0.0000 0.0000 0.0000 Os
0.5000 0.5000 0.5000 Au
0.3272 0.3272 0.8303 Br
0.6728 0.6728 0.1697 Br
```

Summary:
ΔE to the lowest computed polymorph	42	meV per atom
symmetry	C2/m (12)
total magnetic moment	0.00	μB per cell
E_tot	-16.61	eV/f.u.
raw formation energy	0.817	eV per atom
volume	91	Å³ per cell
Fermi-level density of states	2.0	states/eV/f.u.



Entry 12:
Material: Dy3GaO6
Method: DFT, GGA-PBEsol
State: optimized geometry

Geometry as POSCAR:
```
Dy3GaO6
1.0
4.3966 -5.5072 0.0000
4.3966 5.5072 0.0000
0.0000 0.0000 5.3698
Dy Ga O
6 2 12
direct
0.1024 0.8976 0.5000 Dy
0.2020 0.4128 0.4515 Dy
0.4128 0.2020 0.9515 Dy
0.5872 0.7980 0.4515 Dy
0.7980 0.5872 0.9515 Dy
0.8976 0.1024 0.0000 Dy
0.3072 0.6928 0.9209 Ga
0.6928 0.3072 0.4209 Ga
0.0774 0.6046 0.7409 O
0.1441 0.1761 0.7248 O
0.1761 0.1441 0.2248 O
0.2834 0.7166 0.2592 O
0.3954 0.9226 0.7409 O
0.4625 0.5375 0.7760 O
0.5375 0.4625 0.2760 O
0.6046 0.0774 0.2409 O
0.7166 0.2834 0.7592 O
0.8239 0.8559 0.7248 O
0.8559 0.8239 0.2248 O
0.9226 0.3954 0.2409 O
```

Summary:
symmetry	Cmc2_1 (36)
total magnetic moment	0.00	μB per cell
E_tot	-82.10	eV/f.u.
raw formation energy	-3.233	eV per atom
volume	260	Å³ per cell
Fermi-level density of states	0.0	states/eV/f.u.



Entry 13:
Material: CsMnTe2
Method: DFT, GGA-PBEsol
State: optimized geometry

Geometry as POSCAR:
```
CsMnTe2
1.0
-4.1580 4.1580 4.2275
4.1580 -4.1580 4.2275
4.1580 4.1580 -4.2275
Cs Mn Te
2 2 4
direct
0.0000 0.0000 0.0000 Cs
0.7500 0.2500 0.5000 Cs
0.2500 0.7500 0.5000 Mn
0.5000 0.5000 0.0000 Mn
0.2371 0.6250 0.1121 Te
0.3750 0.4871 0.6121 Te
0.5129 0.1250 0.8879 Te
0.8750 0.7629 0.3879 Te
```

Summary:
symmetry	I-42d (122)
total magnetic moment	8.00	μB per cell
E_tot	-19.33	eV/f.u.
raw formation energy	-0.393	eV per atom
volume	292	Å³ per cell
Fermi-level density of states	1.9	states/eV/f.u.



Entry 14:
Material: RbBa2Br5
Method: DFT, GGA-PBEsol
State: optimized geometry

Geometry as POSCAR:
```
RbBa2Br5
1.0
9.7153 0.0000 0.0000
0.0000 8.5548 0.0000
-0.0223 0.0000 13.6877
Rb Ba Br
4 8 20
direct
0.0087 0.0427 0.3300 Rb
0.0087 0.4573 0.8300 Rb
0.9913 0.5427 0.1700 Rb
0.9913 0.9573 0.6700 Rb
0.2477 0.5739 0.4917 Ba
0.2477 0.9261 0.9917 Ba
0.4999 0.0269 0.3231 Ba
0.4999 0.4731 0.8231 Ba
0.5001 0.5269 0.1769 Ba
0.5001 0.9731 0.6769 Ba
0.7523 0.0739 0.0083 Ba
0.7523 0.4261 0.5083 Ba
0.0419 0.1710 0.0925 Br
0.0419 0.3290 0.5925 Br
0.2671 0.6966 0.7203 Br
0.2671 0.8034 0.2203 Br
0.2759 0.5427 0.9979 Br
0.2759 0.9573 0.4979 Br
0.2814 0.1697 0.8136 Br
0.2814 0.3303 0.3136 Br
0.4586 0.1638 0.0985 Br
0.4586 0.3362 0.5985 Br
0.5414 0.6638 0.4015 Br
0.5414 0.8362 0.9015 Br
0.7186 0.6697 0.6864 Br
0.7186 0.8303 0.1864 Br
0.7241 0.0427 0.5021 Br
0.7241 0.4573 0.0021 Br
0.7329 0.1966 0.7797 Br
0.7329 0.3034 0.2797 Br
0.9581 0.6710 0.4075 Br
0.9581 0.8290 0.9075 Br
```

Summary:
symmetry	P2_1/c (14)
total magnetic moment	0.00	μB per cell
E_tot	-31.43	eV/f.u.
raw formation energy	-2.094	eV per atom
volume	1138	Å³ per cell
Fermi-level density of states	0.0	states/eV/f.u.



Entry 15:
Material: HgPd
Method: DFT, GGA-PBEsol
State: optimized geometry

Geometry as POSCAR:
```
HgPd
1.0
5.1966 0.0000 0.0000
0.0000 5.1966 0.0000
0.0000 0.0000 5.1966
Hg Pd
4 4
direct
0.1560 0.1560 0.1560 Hg
0.3440 0.8440 0.6560 Hg
0.6560 0.3440 0.8440 Hg
0.8440 0.6560 0.3440 Hg
0.1531 0.3469 0.6531 Pd
0.3469 0.6531 0.1531 Pd
0.6531 0.1531 0.3469 Pd
0.8469 0.8469 0.8469 Pd
```

Summary:
ΔH_f (0 K)	-0.1372	eV/atom
symmetry	P2_13 (198)
total magnetic moment	0.00	μB per cell
E_tot	-6.80	eV/f.u.
volume	140	Å³ per cell
Fermi-level density of states	0.9	states/eV/f.u.



Entry 16:
Material: CoNiPCl2
Method: DFT, GGA-PBEsol
State: optimized geometry

Geometry as POSCAR:
```
CoNiPCl2
1.0
4.5325 0.0000 0.0000
0.0000 4.5325 0.0000
0.0000 0.0000 4.2049
Co Ni P Cl
1 1 1 2
direct
0.0000 0.0000 0.0000 Co
0.5000 0.5000 0.5000 Ni
0.0000 0.0000 0.5000 P
0.0000 0.5000 0.0000 Cl
0.5000 0.0000 0.0000 Cl
```

Summary:
symmetry	P4/mmm (123)
total magnetic moment	0.79	μB per cell
E_tot	-20.76	eV/f.u.
raw formation energy	0.588	eV per atom
volume	86	Å³ per cell
Fermi-level density of states	8.0	states/eV/f.u.



Entry 17:
Material: H2Pd2Pb
Method: DFT, GGA-PBEsol
State: optimized geometry

Geometry as POSCAR:
```
H2Pd2Pb
1.0
-1.7869 1.7869 4.7449
1.7869 -1.7869 4.7449
1.7869 1.7869 -4.7449
H Pd Pb
2 2 1
direct
0.2500 0.7500 0.5000 H
0.7500 0.2500 0.5000 H
0.1736 0.1736 0.0000 Pd
0.8264 0.8264 0.0000 Pd
0.5000 0.5000 0.0000 Pb
```

Summary:
ΔE to the lowest computed polymorph	0	meV per atom
symmetry	I4/mmm (139)
total magnetic moment	0.00	μB per cell
E_tot	-23.06	eV/f.u.
volume	61	Å³ per cell
Fermi-level density of states	1.4	states/eV/f.u.



Entry 18:
Material: Na3AlF6
Method: DFT, GGA-PBEsol
State: optimized geometry

Geometry as POSCAR:
```
Na3AlF6
1.0
0.0000 3.9516 3.9516
3.9516 0.0000 3.9516
3.9516 3.9516 0.0000
Na Al F
3 1 6
direct
0.0000 0.0000 0.0000 Na
0.2500 0.2500 0.2500 Na
0.7500 0.7500 0.7500 Na
0.5000 0.5000 0.5000 Al
0.2719 0.2719 0.7281 F
0.2719 0.7281 0.2719 F
0.2719 0.7281 0.7281 F
0.7281 0.2719 0.2719 F
0.7281 0.2719 0.7281 F
0.7281 0.7281 0.2719 F
```

Summary:
ΔE to the lowest computed polymorph	59	meV per atom
symmetry	Fm-3m (225)
total magnetic moment	0.00	μB per cell
E_tot	-50.78	eV/f.u.
raw formation energy	-3.092	eV per atom
volume	123	Å³ per cell
Fermi-level density of states	0.0	states/eV/f.u.



Entry 19:
Material: Al2O3
Method: DFT, GGA-PBEsol
State: optimized geometry

Geometry as POSCAR:
```
Al2O3
1.0
3.9766 -3.9718 0.0000
3.9766 3.9718 0.0000
-3.7230 0.0000 11.7257
Al O
16 24
direct
0.0000 0.0000 0.0000 Al
0.0000 0.0000 0.5000 Al
0.1239 0.8761 0.7500 Al
0.1707 0.6508 0.3403 Al
0.1907 0.4634 0.9172 Al
0.3212 0.3488 0.6581 Al
0.3488 0.3212 0.1581 Al
0.3492 0.8293 0.1597 Al
0.4634 0.1907 0.4172 Al
0.5366 0.8093 0.5828 Al
0.6508 0.1707 0.8403 Al
0.6512 0.6788 0.8419 Al
0.6788 0.6512 0.3419 Al
0.8093 0.5366 0.0828 Al
0.8293 0.3492 0.6597 Al
0.8761 0.1239 0.2500 Al
0.0778 0.1047 0.6639 O
0.0836 0.5697 0.6763 O
0.1047 0.0778 0.1639 O
0.1168 0.5836 0.1750 O
0.2319 0.2485 0.0039 O
0.2337 0.7583 0.0045 O
0.2417 0.7663 0.4955 O
0.2485 0.2319 0.5039 O
0.4164 0.8832 0.3250 O
0.4193 0.4221 0.3304 O
0.4221 0.4193 0.8304 O
0.4303 0.9164 0.8237 O
0.5697 0.0836 0.1763 O
0.5779 0.5807 0.1696 O
0.5807 0.5779 0.6696 O
0.5836 0.1168 0.6750 O
0.7515 0.7681 0.4961 O
0.7583 0.2337 0.5045 O
0.7663 0.2417 0.9955 O
0.7681 0.7515 0.9961 O
0.8832 0.4164 0.8250 O
0.8953 0.9222 0.8361 O
0.9164 0.4303 0.3237 O
0.9222 0.8953 0.3361 O
```

Summary:
symmetry	C2/c (15)
total magnetic moment	0.00	μB per cell
E_tot	-39.06	eV/f.u.
raw formation energy	-3.026	eV per atom
volume	370	Å³ per cell
Fermi-level density of states	0.0	states/eV/f.u.



Entry 20:
Material: AlZnSb2
Method: DFT, GGA-PBEsol
State: optimized geometry

Geometry as POSCAR:
```
AlZnSb2
1.0
-2.4154 2.4154 3.6638
2.4154 -2.4154 3.6638
2.4154 2.4154 -3.6638
Al Zn Sb
1 1 2
direct
0.0000 0.0000 0.0000 Al
0.5000 0.5000 0.0000 Zn
0.2500 0.7500 0.5000 Sb
0.7500 0.2500 0.5000 Sb
```

Summary:
ΔE to the lowest computed polymorph	149	meV per atom
symmetry	I4/mmm (139)
total magnetic moment	0.00	μB per cell
E_tot	-14.01	eV/f.u.
raw formation energy	0.195	eV per atom
volume	86	Å³ per cell
Fermi-level density of states	1.8	states/eV/f.u.



Entry 21:
Material: IrAuBr2
Method: DFT, GGA-PBEsol
State: optimized geometry

Geometry as POSCAR:
```
IrAuBr2
1.0
0.0000 3.3354 3.3354
3.3354 0.0000 3.3354
3.3354 3.3354 0.0000
Ir Au Br
1 1 2
direct
0.0000 0.0000 0.0000 Ir
0.2500 0.2500 0.2500 Au
0.5000 0.5000 0.5000 Br
0.7500 0.7500 0.7500 Br
```

Summary:
ΔE to the lowest computed polymorph	796	meV per atom
symmetry	F-43m (216)
total magnetic moment	0.01	μB per cell
E_tot	-12.89	eV/f.u.
raw formation energy	1.149	eV per atom
volume	74	Å³ per cell
Fermi-level density of states	6.3	states/eV/f.u.



Entry 22:
Material: DyNi4Au
Method: DFT, GGA-PBEsol
State: optimized geometry

Geometry as POSCAR:
```
DyNi4Au
1.0
0.0000 3.4263 3.4263
3.4263 0.0000 3.4263
3.4263 3.4263 0.0000
Dy Ni Au
1 4 1
direct
0.0000 0.0000 0.0000 Dy
0.3757 0.3757 0.3757 Ni
0.3757 0.3757 0.8730 Ni
0.3757 0.8730 0.3757 Ni
0.8730 0.3757 0.3757 Ni
0.7500 0.7500 0.7500 Au
```

Summary:
ΔH_f (0 K)	-0.4039	eV/atom
symmetry	F-43m (216)
total magnetic moment	0.00	μB per cell
E_tot	-35.96	eV/f.u.
volume	80	Å³ per cell
Fermi-level density of states	6.7	states/eV/f.u.



Entry 23:
Material: BeGeW3
Method: DFT, GGA-PBEsol
State: optimized geometry

Geometry as POSCAR:
```
BeGeW3
1.0
4.5319 0.0000 0.0000
0.0000 4.5319 0.0000
0.0000 0.0000 4.5319
Be Ge W
1 1 3
direct
0.0000 0.0000 0.0000 Be
0.5000 0.5000 0.5000 Ge
0.0000 0.5000 0.5000 W
0.5000 0.0000 0.5000 W
0.5000 0.5000 0.0000 W
```

Summary:
ΔH_f (0 K)	2.1064	eV/atom
symmetry	Pm-3m (221)
total magnetic moment	0.00	μB per cell
E_tot	-39.83	eV/f.u.
volume	93	Å³ per cell
Fermi-level density of states	5.0	states/eV/f.u.



Entry 24:
Material: BaGa2Cu2
Method: DFT, GGA-PBEsol
State: optimized geometry

Geometry as POSCAR:
```
BaGa2Cu2
1.0
-2.1822 2.1822 5.3779
2.1822 -2.1822 5.3779
2.1822 2.1822 -5.3779
Ba Ga Cu
1 2 2
direct
0.0000 0.0000 0.0000 Ba
0.3508 0.3508 0.0000 Ga
0.6492 0.6492 0.0000 Ga
0.2500 0.7500 0.5000 Cu
0.7500 0.2500 0.5000 Cu
```

Summary:
ΔH_f (0 K)	-0.2283	eV/atom
symmetry	I4/mmm (139)
total magnetic moment	0.00	μB per cell
E_tot	-18.64	eV/f.u.
volume	102	Å³ per cell
Fermi-level density of states	2.5	states/eV/f.u.